(1)
# PBE-GGA B5C, optimized geometry
# - Energy of formation: 0.445 eV per atom
# - V: 6.90 Å³ per atom
data_B5C
_cell_length_a 2.3516
_cell_length_b 2.3516
_cell_length_c 14.9767
_cell_angle_alpha 90.00
_cell_angle_beta 90.00
_cell_angle_gamma 90.00
_space_group_name_H-M_alt 'P -4 m 2'
_space_group_IT_number 115
loop_
_space_group_symop_operation_xyz
'x,y,z'
'y,-x,-z'
'-x,-y,z'
'-y,x,-z'
'-x,y,z'
'-y,-x,-z'
'x,-y,z'
'y,x,-z'
loop_
_atom_site_label
_atom_site_fract_x
_atom_site_fract_y
_atom_site_fract_z
B1 0.0000 0.0000 0.0000
B2 0.0000 0.0000 0.3229
B3 0.0000 0.5000 0.4115
B4 0.0000 0.5000 0.7650
B5 0.5000 0.5000 0.1452
B6 0.5000 0.5000 0.5000
C1 0.0000 0.5000 0.0733



(2)
# PBE-GGA KVSe3, optimized geometry
# - Uncorrected formation energy: -0.806 eV/atom
# - V: 29.40 Å³ per atom
data_KVSe3
_cell_length_a 6.8103
_cell_length_b 6.1659
_cell_length_c 7.4810
_cell_angle_alpha 90.00
_cell_angle_beta 110.63
_cell_angle_gamma 90.00
_space_group_name_H-M_alt 'P 1 21/m 1'
_space_group_IT_number 11
loop_
_space_group_symop_operation_xyz
'x,y,z'
'-x,-y,-z'
'-x,y+1/2,-z'
'x,-y+1/2,z'
loop_
_atom_site_label
_atom_site_fract_x
_atom_site_fract_y
_atom_site_fract_z
K1 0.2228 0.2500 0.3158
V1 0.4222 0.7500 0.0317
Se1 0.1451 0.7500 0.1265
Se2 0.3264 0.5024 0.7563



(3)
# PBE-GGA BSbH, optimized geometry
# - Electronic total energy: -4.527 eV per atom
# - V: 16.55 Å³ per atom
data_BSbH
_cell_length_a 3.7960
_cell_length_b 4.4852
_cell_length_c 6.2006
_cell_angle_alpha 70.12
_cell_angle_beta 89.83
_cell_angle_gamma 89.71
_space_group_name_H-M_alt 'P -1'
_space_group_IT_number 2
loop_
_space_group_symop_operation_xyz
'x,y,z'
'-x,-y,-z'
loop_
_atom_site_label
_atom_site_fract_x
_atom_site_fract_y
_atom_site_fract_z
B1 0.0012 0.3485 0.1274
Sb1 0.5004 0.3217 0.3437
H1 0.0041 0.0755 0.1336



(4)
# PBE-GGA NbRe2Ag, optimized geometry
# - Energy of formation: 0.581 eV per atom
# - V: 16.32 Å³ per atom
data_NbRe2Ag
_cell_length_a 6.3913
_cell_length_b 6.3913
_cell_length_c 6.3913
_cell_angle_alpha 90.00
_cell_angle_beta 90.00
_cell_angle_gamma 90.00
_space_group_name_H-M_alt 'F m -3 m'
_space_group_IT_number 225
_space_group_name_Hall '-F 4 2 3'
loop_
_atom_site_label
_atom_site_fract_x
_atom_site_fract_y
_atom_site_fract_z
Nb1 0.0000 0.0000 0.0000
Re1 0.2500 0.2500 0.2500
Ag1 0.0000 0.0000 0.5000



(5)
# PBE-GGA Cu2PBr, optimized geometry
# - Uncorrected formation energy: 0.179 eV/atom
# - V: 17.13 Å³ per atom
data_Cu2PBr
_cell_length_a 3.1467
_cell_length_b 3.2914
_cell_length_c 6.6158
_cell_angle_alpha 90.00
_cell_angle_beta 90.00
_cell_angle_gamma 90.00
_space_group_name_H-M_alt 'P m m m'
_space_group_IT_number 47
loop_
_space_group_symop_operation_xyz
'x,y,z'
'-x,-y,-z'
'-x,-y,z'
'x,y,-z'
'x,-y,-z'
'-x,y,z'
'-x,y,-z'
'x,-y,z'
loop_
_atom_site_label
_atom_site_fract_x
_atom_site_fract_y
_atom_site_fract_z
Cu1 0.0000 0.0000 0.1852
P1 0.5000 0.5000 0.0000
Br1 0.5000 0.0000 0.5000



(6)
# PBE-GGA Ac4Pr8Ho, optimized geometry
# - Energy of formation: 0.498 eV per atom
# - V: 43.02 Å³ per atom
data_Ac4Pr8Ho
_cell_length_a 11.6396
_cell_length_b 11.6396
_cell_length_c 14.3003
_cell_angle_alpha 90.00
_cell_angle_beta 90.00
_cell_angle_gamma 120.00
_space_group_name_H-M_alt 'R -3 m'
_space_group_IT_number 166
_space_group_name_Hall '-R 3 2"'
loop_
_atom_site_label
_atom_site_fract_x
_atom_site_fract_y
_atom_site_fract_z
Ac1 0.0000 0.0000 0.0000
Ac2 0.0000 0.5000 0.0000
Pr1 0.0000 0.0000 0.2423
Pr2 0.0106 0.5053 0.7479
Ho1 0.0000 0.0000 0.5000



(7)
# PBE-GGA Pm2Nd4ErSc, optimized geometry
# - Energy of formation: 0.029 eV per atom
# - V: 32.94 Å³ per atom
data_Pm2Nd4ErSc
_cell_length_a 5.1007
_cell_length_b 5.1266
_cell_length_c 10.0785
_cell_angle_alpha 90.00
_cell_angle_beta 90.05
_cell_angle_gamma 90.00
_space_group_name_H-M_alt 'P 1 2/m 1'
_space_group_IT_number 10
loop_
_space_group_symop_operation_xyz
'x,y,z'
'-x,-y,-z'
'-x,y,-z'
'x,-y,z'
loop_
_atom_site_label
_atom_site_fract_x
_atom_site_fract_y
_atom_site_fract_z
Pm1 0.0000 0.0000 0.0000
Pm2 0.5000 0.5000 0.5000
Nd1 0.9996 0.5000 0.2455
Nd2 0.4999 0.0000 0.2464
Er1 0.0000 0.0000 0.5000
Sc1 0.5000 0.5000 0.0000



(8)
# PBE-GGA PmY8Ho2, optimized geometry
# - Energy of formation: 0.149 eV per atom
# - V: 33.81 Å³ per atom
data_PmY8Ho2
_cell_length_a 19.1609
_cell_length_b 6.9747
_cell_length_c 5.5724
_cell_angle_alpha 90.00
_cell_angle_beta 92.94
_cell_angle_gamma 90.00
_space_group_name_H-M_alt 'C 1 2/m 1'
_space_group_IT_number 12
loop_
_space_group_symop_operation_xyz
'x,y,z'
'-x,-y,-z'
'-x,y,-z'
'x,-y,z'
'x+1/2,y+1/2,z'
'-x+1/2,-y+1/2,-z'
'-x+1/2,y+1/2,-z'
'x+1/2,-y+1/2,z'
loop_
_atom_site_label
_atom_site_fract_x
_atom_site_fract_y
_atom_site_fract_z
Pm1 0.0000 0.0000 0.0000
Y1 0.0472 0.5000 0.2365
Y2 0.1333 0.2658 0.7313
Y3 0.1884 0.0000 0.2335
Ho1 0.2156 0.5000 0.2494



(9)
# PBE-GGA CaDyPdAu, optimized geometry
# - Energy of formation: -0.821 eV per atom
# - V: 23.80 Å³ per atom
data_CaDyPdAu
_cell_length_a 4.5120
_cell_length_b 3.8517
_cell_length_c 10.9568
_cell_angle_alpha 90.00
_cell_angle_beta 90.00
_cell_angle_gamma 90.00
_space_group_name_H-M_alt 'A m m 2'
_space_group_IT_number 38
loop_
_space_group_symop_operation_xyz
'x,y,z'
'-x,-y,z'
'-x,y,z'
'x,-y,z'
'x,y+1/2,z+1/2'
'-x,-y+1/2,z+1/2'
'-x,y+1/2,z+1/2'
'x,-y+1/2,z+1/2'
loop_
_atom_site_label
_atom_site_fract_x
_atom_site_fract_y
_atom_site_fract_z
Ca1 0.0000 0.0000 0.0000
Dy1 0.5000 0.0000 0.2780
Pd1 0.0000 0.0000 0.7295
Au1 0.5000 0.0000 0.5602



(10)
# PBE-GGA FeAgCl4, optimized geometry
# - Uncorrected formation energy: 0.851 eV/atom
# - V: 23.65 Å³ per atom
data_FeAgCl4
_cell_length_a 8.2799
_cell_length_b 8.2799
_cell_length_c 8.2799
_cell_angle_alpha 90.00
_cell_angle_beta 90.00
_cell_angle_gamma 90.00
_space_group_name_H-M_alt 'F -4 3 m'
_space_group_IT_number 216
_space_group_name_Hall 'F -4 2 3'
loop_
_atom_site_label
_atom_site_fract_x
_atom_site_fract_y
_atom_site_fract_z
Fe1 0.0000 0.0000 0.0000
Ag1 0.2500 0.2500 0.7500
Cl1 0.1252 0.1252 0.3748



(11)
# PBE-GGA ScSiCl, optimized geometry
# - Uncorrected formation energy: -0.652 eV/atom
# - V: 22.94 Å³ per atom
data_ScSiCl
_cell_length_a 3.0830
_cell_length_b 3.0830
_cell_length_c 14.4815
_cell_angle_alpha 90.00
_cell_angle_beta 90.00
_cell_angle_gamma 90.00
_space_group_name_H-M_alt 'I 4 m m'
_space_group_IT_number 107
_space_group_name_Hall 'I 4 -2'
loop_
_atom_site_label
_atom_site_fract_x
_atom_site_fract_y
_atom_site_fract_z
Sc1 0.0000 0.0000 0.0000
Si1 0.0000 0.0000 0.3764
Cl1 0.0000 0.0000 0.6122



(12)
# PBE-GGA DySn2Se4, optimized geometry
# - Uncorrected formation energy: -0.855 eV/atom
# - V: 27.16 Å³ per atom
data_DySn2Se4
_cell_length_a 3.9851
_cell_length_b 13.7911
_cell_length_c 13.8378
_cell_angle_alpha 90.00
_cell_angle_beta 90.00
_cell_angle_gamma 90.00
_space_group_name_H-M_alt 'C m c m'
_space_group_IT_number 63
_space_group_name_Hall '-C 2c 2'
loop_
_atom_site_label
_atom_site_fract_x
_atom_site_fract_y
_atom_site_fract_z
Dy1 0.0000 0.1139 0.2500
Sn1 0.0000 0.3674 0.0670
Se1 0.0000 0.0000 0.0000
Se2 0.0000 0.2857 0.6269
Se3 0.0000 0.4663 0.2500



(13)
# PBE-GGA Pm3Nd2Tm7, optimized geometry
# - Energy of formation: 0.090 eV per atom
# - V: 32.29 Å³ per atom
data_Pm3Nd2Tm7
_cell_length_a 5.7892
_cell_length_b 3.5689
_cell_length_c 18.7852
_cell_angle_alpha 90.00
_cell_angle_beta 93.20
_cell_angle_gamma 90.00
_space_group_name_H-M_alt 'P 1 2/m 1'
_space_group_IT_number 10
loop_
_space_group_symop_operation_xyz
'x,y,z'
'-x,-y,-z'
'-x,y,-z'
'x,-y,z'
loop_
_atom_site_label
_atom_site_fract_x
_atom_site_fract_y
_atom_site_fract_z
Pm1 0.0000 0.0000 0.0000
Pm2 0.2767 0.5000 0.6304
Nd1 0.2090 0.0000 0.2912
Tm1 0.1889 0.5000 0.1413
Tm2 0.2423 0.0000 0.4613
Tm3 0.3090 0.0000 0.8288
Tm4 0.5000 0.5000 0.0000



(14)
# PBE-GGA SnBI2, optimized geometry
# - Uncorrected formation energy: 0.978 eV/atom
# - V: 35.40 Å³ per atom
data_SnBI2
_cell_length_a 6.9151
_cell_length_b 6.9151
_cell_length_c 11.8453
_cell_angle_alpha 90.00
_cell_angle_beta 90.00
_cell_angle_gamma 90.00
_space_group_name_H-M_alt 'I -4 2 d'
_space_group_IT_number 122
_space_group_name_Hall 'I -4 2bw'
loop_
_atom_site_label
_atom_site_fract_x
_atom_site_fract_y
_atom_site_fract_z
Sn1 0.0000 0.0000 0.0000
B1 0.0000 0.0000 0.5000
I1 0.1280 0.2500 0.6250



(15)
# PBE-GGA XeO3, optimized geometry
# - Uncorrected formation energy: 1.473 eV/atom
# - V: 19.37 Å³ per atom
data_XeO3
_cell_length_a 5.9752
_cell_length_b 6.1069
_cell_length_c 8.4944
_cell_angle_alpha 90.00
_cell_angle_beta 90.00
_cell_angle_gamma 90.00
_space_group_name_H-M_alt 'P 21 21 21'
_space_group_IT_number 19
loop_
_space_group_symop_operation_xyz
'x,y,z'
'-x+1/2,-y,z+1/2'
'x+1/2,-y+1/2,-z'
'-x,y+1/2,-z+1/2'
loop_
_atom_site_label
_atom_site_fract_x
_atom_site_fract_y
_atom_site_fract_z
Xe1 0.2372 0.0013 0.3003
O1 0.0511 0.3697 0.2001
O2 0.0619 0.2364 0.8237
O3 0.2478 0.1311 0.5042



(16)
# PBE-GGA Tb2Pm2NdEr, optimized geometry
# - Energy of formation: 0.262 eV per atom
# - V: 33.93 Å³ per atom
data_Tb2Pm2NdEr
_cell_length_a 6.6521
_cell_length_b 17.9789
_cell_length_c 3.4042
_cell_angle_alpha 90.00
_cell_angle_beta 90.00
_cell_angle_gamma 90.00
_space_group_name_H-M_alt 'P n n m'
_space_group_IT_number 58
loop_
_space_group_symop_operation_xyz
'x,y,z'
'-x,-y,-z'
'-x,-y,z'
'x,y,-z'
'x+1/2,-y+1/2,-z+1/2'
'-x+1/2,y+1/2,z+1/2'
'-x+1/2,y+1/2,-z+1/2'
'x+1/2,-y+1/2,z+1/2'
loop_
_atom_site_label
_atom_site_fract_x
_atom_site_fract_y
_atom_site_fract_z
Tb1 0.2310 0.1473 0.0000
Pm1 0.2326 0.3158 0.5000
Nd1 0.0000 0.0000 0.5000
Er1 0.0000 0.5000 0.5000



(17)
# PBE-GGA Er2MnZn3Ni12, optimized geometry
# - Energy of formation: 0.106 eV per atom
# - V: 14.60 Å³ per atom
data_Er2MnZn3Ni12
_cell_length_a 5.9104
_cell_length_b 5.9104
_cell_length_c 26.0534
_cell_angle_alpha 90.00
_cell_angle_beta 90.00
_cell_angle_gamma 120.00
_space_group_name_H-M_alt 'R -3 m'
_space_group_IT_number 166
_space_group_name_Hall '-R 3 2"'
loop_
_atom_site_label
_atom_site_fract_x
_atom_site_fract_y
_atom_site_fract_z
Er1 0.0000 0.0000 0.1490
Mn1 0.0000 0.0000 0.5000
Zn1 0.0000 0.5000 0.0000
Ni1 0.0386 0.5193 0.0998
Ni2 0.0714 0.5357 0.6149



(18)
# PBE-GGA Na2TbTmO4, optimized geometry
# - Uncorrected formation energy: -2.820 eV/atom
# - V: 14.03 Å³ per atom
data_Na2TbTmO4
_cell_length_a 5.9044
_cell_length_b 3.4081
_cell_length_c 5.9140
_cell_angle_alpha 90.00
_cell_angle_beta 109.44
_cell_angle_gamma 90.00
_space_group_name_H-M_alt 'P 1 2/m 1'
_space_group_IT_number 10
loop_
_space_group_symop_operation_xyz
'x,y,z'
'-x,-y,-z'
'-x,y,-z'
'x,-y,z'
loop_
_atom_site_label
_atom_site_fract_x
_atom_site_fract_y
_atom_site_fract_z
Na1 0.0000 0.0000 0.0000
Na2 0.5000 0.5000 0.0000
Tb1 0.0000 0.5000 0.5000
Tm1 0.5000 0.0000 0.5000
O1 0.2420 0.0000 0.7107
O2 0.2683 0.5000 0.2907



(19)
# PBE-GGA CaAcIn3, optimized geometry
# - Energy of formation: -0.369 eV per atom
# - V: 31.44 Å³ per atom
data_CaAcIn3
_cell_length_a 4.5550
_cell_length_b 5.0037
_cell_length_c 6.8977
_cell_angle_alpha 90.00
_cell_angle_beta 90.00
_cell_angle_gamma 90.00
_space_group_name_H-M_alt 'P m m m'
_space_group_IT_number 47
loop_
_space_group_symop_operation_xyz
'x,y,z'
'-x,-y,-z'
'-x,-y,z'
'x,y,-z'
'x,-y,-z'
'-x,y,z'
'-x,y,-z'
'x,-y,z'
loop_
_atom_site_label
_atom_site_fract_x
_atom_site_fract_y
_atom_site_fract_z
Ca1 0.0000 0.0000 0.0000
Ac1 0.5000 0.0000 0.5000
In1 0.0000 0.5000 0.2945
In2 0.5000 0.5000 0.0000



(20)
# PBE-GGA Tm6Tl3Hg, optimized geometry
# - Energy of formation: 0.268 eV per atom
# - V: 34.94 Å³ per atom
data_Tm6Tl3Hg
_cell_length_a 11.1800
_cell_length_b 11.1800
_cell_length_c 11.1800
_cell_angle_alpha 90.00
_cell_angle_beta 90.00
_cell_angle_gamma 90.00
_space_group_name_H-M_alt 'F m -3 m'
_space_group_IT_number 225
_space_group_name_Hall '-F 4 2 3'
loop_
_atom_site_label
_atom_site_fract_x
_atom_site_fract_y
_atom_site_fract_z
Tm1 0.0000 0.0000 0.2469
Tl1 0.0000 0.0000 0.5000
Tl2 0.2500 0.2500 0.2500
Hg1 0.0000 0.0000 0.0000



(21)
# PBE-GGA NdGa4Tc, optimized geometry
# - Energy of formation: -0.267 eV per atom
# - V: 20.17 Å³ per atom
data_NdGa4Tc
_cell_length_a 15.1607
_cell_length_b 6.6073
_cell_length_c 5.1335
_cell_angle_alpha 90.00
_cell_angle_beta 109.72
_cell_angle_gamma 90.00
_space_group_name_H-M_alt 'C 1 2/m 1'
_space_group_IT_number 12
loop_
_space_group_symop_operation_xyz
'x,y,z'
'-x,-y,-z'
'-x,y,-z'
'x,-y,z'
'x+1/2,y+1/2,z'
'-x+1/2,-y+1/2,-z'
'-x+1/2,y+1/2,-z'
'x+1/2,-y+1/2,z'
loop_
_atom_site_label
_atom_site_fract_x
_atom_site_fract_y
_atom_site_fract_z
Nd1 0.2145 0.0000 0.2151
Ga1 0.0000 0.1766 0.0000
Ga2 0.1062 0.2157 0.6059
Ga3 0.1602 0.5000 0.1599
Tc1 0.0000 0.5000 0.2617



(22)
# PBE-GGA ThScPa4, optimized geometry
# - Energy of formation: 0.188 eV per atom
# - V: 26.29 Å³ per atom
data_ThScPa4
_cell_length_a 8.5775
_cell_length_b 8.5775
_cell_length_c 8.5775
_cell_angle_alpha 90.00
_cell_angle_beta 90.00
_cell_angle_gamma 90.00
_space_group_name_H-M_alt 'F -4 3 m'
_space_group_IT_number 216
_space_group_name_Hall 'F -4 2 3'
loop_
_atom_site_label
_atom_site_fract_x
_atom_site_fract_y
_atom_site_fract_z
Th1 0.0000 0.0000 0.0000
Sc1 0.2500 0.2500 0.7500
Pa1 0.1247 0.1247 0.3753